First-principles (PBE-GGA) data for a geometry-optimized Y2HPd2 structure, as listed in Alexandria.

Output
The value obtained for the total energy is -5.805 eV per atom.

Lattice parameters (Å, degrees): 7.287 7.287 3.957 90.00 90.00 90.00
Sites, in units of the cell vectors:
Y  0.178  0.322  0.000
Y  0.322  0.822  0.000
Y  0.678  0.178  0.000
Y  0.822  0.678  0.000
H  0.000  0.000  0.000
H  0.500  0.500  0.000
Pd  0.128  0.628  0.500
Pd  0.372  0.128  0.500
Pd  0.628  0.872  0.500
Pd  0.872  0.372  0.500